VASP calculation (PBE-GGA) on crystalline TaZnP2 at its relaxed geometry.

```
TaZnP2
1.0
1.4526 0.8386 10.4021
-1.4526 0.8386 10.4021
0.0000 -1.6773 10.4021
Ta Zn P
1 1 2
Cartesian
0.0000 0.0000 0.0000 Ta
0.0000 0.0000 23.1417 Zn
0.0000 0.0000 8.3443 P
0.0000 0.0000 14.6274 P
```

Results
ρ: 6.733 Mg/m³
VASP energy: -22.89 eV/cell

VASP calculation (PBE-GGA) on crystalline TaZn2P at its relaxed geometry.

```
TaZn2P
1.0
-3.6244 3.6244 2.4664
3.6244 -3.6244 2.4664
3.6244 3.6244 -2.4664
Ta Zn P
2 4 2
Cartesian
0.0000 0.0000 0.0000 Ta
0.0000 3.6244 1.2332 Ta
1.8122 -1.5498 1.8498 Zn
2.0746 1.8122 0.6166 Zn
1.8122 5.1742 -0.6166 Zn
1.5498 1.8122 3.0829 Zn
3.6244 0.0000 1.2332 P
0.0000 0.0000 2.4664 P
```

Results
ρ: 8.783 Mg/m³
VASP energy: -38.48 eV/cell

VASP calculation (PBE-GGA) on crystalline TaZnP2 at its relaxed geometry.

```
TaZnP2
1.0
0.0000 3.1379 3.1379
3.1379 0.0000 3.1379
3.1379 3.1379 0.0000
Ta Zn P
1 1 2
Cartesian
0.0000 0.0000 0.0000 Ta
1.5690 1.5690 1.5690 Zn
3.1379 3.1379 3.1379 P
4.7069 4.7069 4.7069 P
```

Results
ρ: 8.284 Mg/m³
VASP energy: -21.98 eV/cell

VASP calculation (PBE-GGA) on crystalline TaZnP2 at its relaxed geometry.

```
TaZnP2
1.0
-1.6536 1.7388 5.7544
1.6536 -1.7388 5.7544
1.6536 1.7388 -5.7544
Ta Zn P
1 1 2
Cartesian
0.0000 0.0000 0.0000 Ta
1.6536 0.0000 3.1607 Zn
0.0000 0.0000 6.6832 P
0.0000 1.7388 3.8700 P
```

Results
ρ: 7.735 Mg/m³
VASP energy: -24.83 eV/cell

VASP calculation (PBE-GGA) on crystalline TaZn3P at its relaxed geometry.

```
TaZn3P
1.0
4.9996 0.0000 0.0000
0.0000 4.9996 0.0000
0.0000 0.0000 4.9996
Ta Zn P
1 3 1
Cartesian
0.0000 0.0000 0.0000 Ta
0.0000 0.0000 2.4998 Zn
0.0000 2.4998 0.0000 Zn
2.4998 0.0000 0.0000 Zn
2.4998 2.4998 2.4998 P
```

Results
ρ: 5.423 Mg/m³
VASP energy: -13.92 eV/cell
ΔE to the lowest computed polymorph: 465 meV/atom

VASP calculation (PBE-GGA) on crystalline Ta2ZnP2 at its relaxed geometry.

```
Ta2ZnP2
1.0
7.0197 0.0000 0.0000
0.0000 7.0197 0.0000
0.0000 0.0000 3.2299
Ta Zn P
4 2 4
Cartesian
1.0322 2.4777 0.0000 Ta
2.4777 5.9875 0.0000 Ta
4.5420 1.0322 0.0000 Ta
5.9875 4.5420 0.0000 Ta
0.0000 0.0000 0.0000 Zn
3.5098 3.5098 0.0000 Zn
1.0099 4.5197 1.6150 P
2.4999 1.0099 1.6150 P
4.5197 6.0097 1.6150 P
6.0097 2.4999 1.6150 P
```

Results
ρ: 10.209 Mg/m³
VASP energy: -75.79 eV/cell
ΔE to the lowest computed polymorph: 0 meV/atom

VASP calculation (PBE-GGA) on crystalline TaZn2P at its relaxed geometry.

```
TaZn2P
1.0
4.6181 -1.3634 0.0000
4.6181 1.3634 0.0000
-0.4015 0.0000 4.9871
Ta Zn P
1 2 1
Cartesian
0.0000 0.0000 0.0000 Ta
2.1924 0.0000 3.4526 Zn
4.6607 0.0000 2.5176 Zn
6.7506 0.0000 0.8365 P
```

Results
ρ: 9.062 Mg/m³
VASP energy: -19.73 eV/cell

VASP calculation (PBE-GGA) on crystalline TaZn2P at its relaxed geometry.

```
TaZn2P
1.0
1.4660 0.8464 8.6239
-1.4660 0.8464 8.6239
0.0000 -1.6928 8.6239
Ta Zn P
1 2 1
Cartesian
0.0000 0.0000 0.0000 Ta
0.0000 0.0000 6.3398 Zn
0.0000 0.0000 19.5318 Zn
0.0000 0.0000 12.9358 P
```

Results
ρ: 8.865 Mg/m³
VASP energy: -18.94 eV/cell